Computed, not measured: a geometry-optimized PC structure at the GGA-PBE level of DFT.

abc: 3.767 3.767 2.950
angles: 90.00 90.00 90.00
Fractional positions:
P 0.500 0.000 0.986
P 0.000 0.500 0.847
C 0.000 0.000 0.917
C 0.500 0.500 0.917

relative energy among the computed polymorphs = 917 meV per atom
DOS at the Fermi energy = 0.091 states/eV per atom
space-group type = P4/nmm (129)
energy = -24.4 eV/cell
calculated formation energy = 1.2293 eV/atom